[1]
{"formula": "Tb4Te2PC", "functional": "PBE", "state": "optimized geometry", "lattice_angstrom": [[6.9849, 0.0000, 0.0000], [0.0000, 3.9973, 0.0000], [-2.2979, 0.0000, 7.0304]], "species": ["Tb", "Tb", "Tb", "Tb", "Te", "Te", "P", "C"], "fractional_positions": [[0.2148, 0.0000, 0.1966], [0.2437, 0.5000, 0.7981], [0.7563, 0.5000, 0.2019], [0.7852, 0.0000, 0.8034], [0.0000, 0.0000, 0.5000], [0.5000, 0.5000, 0.5000], [0.5000, 0.0000, 0.0000], [0.0000, 0.5000, 0.0000]], "raw_formation_energy_mev_per_atom": -1202, "energy_ev_per_atom": -6.1314, "crystal_system": "monoclinic"}



[2]
{"formula": "U2FeOs", "functional": "PBE", "state": "optimized geometry", "lattice_angstrom": [[4.0344, 0.0000, 0.0000], [0.0000, 7.3022, 0.0000], [-1.9588, 0.0000, 4.6766]], "species": ["U", "U", "U", "U", "Fe", "Fe", "Os", "Os"], "fractional_positions": [[0.1716, 0.0609, 0.2612], [0.1716, 0.4391, 0.2612], [0.8284, 0.5609, 0.7388], [0.8284, 0.9391, 0.7388], [0.1712, 0.7500, 0.5060], [0.8288, 0.2500, 0.4940], [0.4980, 0.2500, 0.8946], [0.5020, 0.7500, 0.1054]], "formation_energy_ev_per_atom": 0.11, "energy_ev_per_atom": -10.4567, "crystal_system": "monoclinic"}